Record 1
This record from the Alexandria database describes a crystal of BaLiCdCu2 relaxed with PBEsol. The functional is meta-GGA SCAN.

Output
Raw total energy in eV/f.u.: -99.7
N(E_F) in states/eV/atom: 0.47

Cell and atoms, written as POSCAR:
```
BaLiCdCu2
1.0
4.987 0.000 0.000
0.000 4.987 0.000
0.000 0.000 5.973
Cu Ba Cd Li
2 1 1 1
Cartesian
2.494 0.000 0.000
0.000 2.494 0.000
0.000 0.000 2.986
0.000 0.000 0.000
2.494 2.494 2.986
```



Record 2
This record from the Alexandria database describes a crystal of BaCd2CuS relaxed with PBEsol. The functional is meta-GGA SCAN.

Output
Uncorrected formation energy in eV per formula unit: 3.4
N(E_F) in states/eV/atom: 0.19

Cell and atoms, written as POSCAR:
```
BaCd2CuS
1.0
-1.642 -4.801 2.226
5.016 0.356 4.467
-4.014 3.338 4.241
Cd Cu Ba S
2 1 1 1
Cartesian
-2.007 1.669 2.121
2.508 0.178 2.234
-0.320 -0.554 5.467
0.000 0.000 0.000
-0.821 -2.401 1.113
```



Record 3
This record from the Alexandria database describes a crystal of BaCd2CuSn relaxed with PBEsol. The functional is meta-GGA SCAN.

Output
Raw total energy in eV/f.u.: -146.1
N(E_F) in states/eV/atom: 0.71

Cell and atoms, written as POSCAR:
```
BaCd2CuSn
1.0
-4.485 1.999 1.831
-3.129 -3.436 -3.916
-0.293 -4.444 4.134
Ba Cd Sn Cu
1 2 1 1
Cartesian
0.000 0.000 0.000
-1.565 -1.718 -1.958
-0.146 -2.222 2.067
-3.954 -2.941 1.025
-2.243 0.999 0.915
```



Record 4
This record from the Alexandria database describes a crystal of Ba3CdF relaxed with PBEsol. The functional is meta-GGA SCAN.

Output
Uncorrected formation energy in eV per formula unit: -2.4
N(E_F) in states/eV/atom: 0.76

Cell and atoms, written as POSCAR:
```
Ba3CdF
1.0
6.543 0.000 0.000
0.000 6.543 0.000
0.000 0.000 6.543
Cd F Ba
1 1 3
Cartesian
0.000 0.000 0.000
3.272 3.272 3.272
0.000 3.272 0.000
0.000 0.000 3.272
3.272 0.000 0.000
```



Record 5
This record from the Alexandria database describes a crystal of Ba2CdNiF relaxed with PBEsol. The functional is meta-GGA SCAN.

Output
Uncorrected formation energy in eV per formula unit: -4.2
N(E_F) in states/eV/atom: 0.63

Cell and atoms, written as POSCAR:
```
Ba2CdNiF
1.0
4.116 0.000 0.000
0.000 5.610 0.000
0.000 0.000 5.610
Ba Ni Cd F
2 1 1 1
Cartesian
0.000 0.000 2.805
0.000 2.805 0.000
2.058 0.000 0.000
2.058 2.805 2.805
0.000 0.000 0.000
```



Record 6
This record from the Alexandria database describes a crystal of RbBaCd2F relaxed with PBEsol. The functional is meta-GGA SCAN.

Output
Uncorrected formation energy in eV per formula unit: -5.0
N(E_F) in states/eV/atom: 0.54

Cell and atoms, written as POSCAR:
```
RbBaCd2F
1.0
4.867 0.000 0.000
0.000 6.138 0.000
0.000 0.000 6.138
Ba Cd Rb F
1 2 1 1
Cartesian
2.433 0.000 0.000
0.000 0.000 3.069
0.000 3.069 0.000
2.433 3.069 3.069
0.000 0.000 0.000
```



Record 7
This record from the Alexandria database describes a crystal of BaCdRhF2 relaxed with PBEsol. The functional is meta-GGA SCAN.

Output
Uncorrected formation energy in eV per formula unit: -5.7
N(E_F) in states/eV/atom: 0.32

Cell and atoms, written as POSCAR:
```
BaCdRhF2
1.0
4.734 0.000 0.000
0.000 4.734 0.000
0.000 0.000 5.668
F Cd Rh Ba
2 1 1 1
Cartesian
2.367 0.000 0.000
0.000 2.367 0.000
2.367 2.367 2.834
0.000 0.000 2.834
0.000 0.000 0.000
```



Record 8
This record from the Alexandria database describes a crystal of BaVCdF7 relaxed with PBEsol. The functional is meta-GGA SCAN.

Output
Uncorrected formation energy in eV per formula unit: -32.8

Cell and atoms, written as POSCAR:
```
BaVCdF7
1.0
-3.105 -3.190 -3.043
6.164 -3.493 2.151
-7.359 -4.596 12.324
Cd F Ba V
4 28 4 4
Cartesian
0.000 0.000 0.000
-4.818 -4.210 0.161
-5.645 -3.576 9.120
-3.680 -2.298 6.162
-0.557 -7.038 6.387
-3.508 -9.736 10.144
1.700 -2.747 1.684
-5.912 -4.250 6.907
-1.748 -3.380 3.088
-7.077 -7.373 7.632
-2.794 -5.231 1.397
-3.743 -4.240 5.045
4.136 -3.699 1.218
2.041 -4.847 0.106
-8.436 -7.580 10.214
-5.070 -6.087 8.935
-4.541 -6.066 3.320
-6.837 -6.272 5.131
1.612 -7.029 4.525
0.242 -5.213 8.112
-6.341 -6.431 11.326
-1.289 -8.526 11.451
-6.000 -8.531 9.748
2.778 -3.905 3.800
-1.970 -5.874 3.929
-1.505 -6.047 10.035
0.771 -5.192 2.497
2.537 -5.007 6.301
-0.792 -1.543 1.288
-3.011 -2.753 -0.019
-2.552 -7.899 8.344
-2.330 -5.405 7.503
0.221 -4.744 5.106
-0.608 -3.998 0.392
-3.692 -7.281 11.040
-4.521 -6.535 6.326
2.503 -4.438 1.969
-1.092 -6.649 8.213
-6.803 -6.841 9.463
-3.208 -4.630 3.219
```



Record 9
This record from the Alexandria database describes a crystal of BaCdFe2 relaxed with PBEsol. The functional is meta-GGA SCAN.

Output
Raw total energy in eV/f.u.: -103.8
N(E_F) in states/eV/atom: 0.64

Cell and atoms, written as POSCAR:
```
BaCdFe2
1.0
3.122 0.000 0.000
0.000 5.214 0.000
-1.561 -2.607 5.102
Ba Fe Cd
1 2 1
Cartesian
0.000 0.000 4.957
0.000 0.000 0.339
1.561 0.000 1.995
0.000 2.607 2.913
```



Record 10
This record from the Alexandria database describes a crystal of Ba4CdFe relaxed with PBEsol. The functional is meta-GGA SCAN.

Output
Raw total energy in eV/f.u.: -202.0
N(E_F) in states/eV/atom: 1.00

Cell and atoms, written as POSCAR:
```
Ba4CdFe
1.0
6.958 0.000 0.000
3.479 6.025 0.000
3.479 2.008 5.681
Fe Ba Cd
1 4 1
Cartesian
0.000 0.000 0.000
6.958 4.017 4.975
8.700 3.011 2.129
5.215 3.011 2.129
6.958 6.029 2.129
10.436 6.025 4.261
```



Record 11
This record from the Alexandria database describes a crystal of BaCdFe2 relaxed with PBEsol. The functional is meta-GGA SCAN.

Output
Raw total energy in eV/f.u.: -103.5
N(E_F) in states/eV/atom: 1.01

Cell and atoms, written as POSCAR:
```
BaCdFe2
1.0
4.885 0.000 0.000
2.442 4.503 0.021
2.442 0.832 4.425
Cd Fe Ba
1 2 1
Cartesian
2.442 0.000 0.000
4.885 0.839 0.700
4.885 4.495 3.747
2.442 2.667 2.223
```



Record 12
This record from the Alexandria database describes a crystal of BaCd2Fe relaxed with PBEsol. The functional is meta-GGA SCAN.

Output
Raw total energy in eV/f.u.: -117.5
N(E_F) in states/eV/atom: 0.74

Cell and atoms, written as POSCAR:
```
BaCd2Fe
1.0
3.543 0.000 0.000
0.000 3.543 0.000
0.000 0.000 7.669
Cd Fe Ba
2 1 1
Cartesian
0.000 0.000 0.471
1.771 1.771 2.197
0.000 0.000 3.249
1.771 1.771 5.587
```



Record 13
This record from the Alexandria database describes a crystal of Ba3CdFe relaxed with PBEsol. The functional is meta-GGA SCAN.

Output
N(E_F) in states/eV/atom: 0.79
Polymorph energy (0 for the lowest one) in eV/atom: 0.000

Cell and atoms, written as POSCAR:
```
Ba3CdFe
1.0
5.747 0.000 0.000
0.000 5.747 0.000
0.000 0.000 5.747
Cd Fe Ba
1 1 3
Cartesian
2.873 2.873 2.873
0.000 0.000 0.000
0.000 2.873 0.000
2.873 0.000 0.000
0.000 0.000 2.873
```



Record 14
This record from the Alexandria database describes a crystal of BaCd2Fe relaxed with PBEsol. The functional is meta-GGA SCAN.

Output
Raw total energy in eV/f.u.: -116.4
N(E_F) in states/eV/atom: 0.65

Cell and atoms, written as POSCAR:
```
BaCd2Fe
1.0
3.119 0.000 0.000
0.000 5.880 -0.001
0.000 -2.795 5.173
Cd Fe Ba
2 1 1
Cartesian
0.000 2.940 -0.001
0.000 -1.397 2.587
1.559 0.000 0.000
1.559 1.543 2.586
```



Record 15
This record from the Alexandria database describes a crystal of Ba2Cd2Ga relaxed with PBEsol. The functional is meta-GGA SCAN.

Output
Raw total energy in eV/f.u.: -157.3
N(E_F) in states/eV/atom: 0.58

Cell and atoms, written as POSCAR:
```
Ba2Cd2Ga
1.0
-3.827 0.063 -1.409
-1.370 -1.133 3.671
1.778 10.146 1.528
Ga Ba Cd
1 2 2
Cartesian
0.000 0.000 0.000
-0.663 7.768 2.149
-2.756 1.308 1.641
-1.095 4.239 3.165
-2.324 4.837 0.625
```



Record 16
This record from the Alexandria database describes a crystal of BaCd2GaGe relaxed with PBEsol. The functional is meta-GGA SCAN.

Output
Raw total energy in eV/f.u.: -134.9
N(E_F) in states/eV/atom: 0.70

Cell and atoms, written as POSCAR:
```
BaCd2GaGe
1.0
-2.503 4.420 -0.360
-3.203 -2.088 -3.363
-3.692 -1.717 4.582
Cd Ge Ga Ba
2 1 1 1
Cartesian
-1.602 -1.044 -1.682
-1.251 2.210 -0.180
0.000 0.000 0.000
-4.699 0.308 0.429
-1.846 -0.858 2.291
```



Record 17
This record from the Alexandria database describes a crystal of BaCd2GaI relaxed with PBEsol. The functional is meta-GGA SCAN.

Output
Uncorrected formation energy in eV per formula unit: 1.6
N(E_F) in states/eV/atom: 0.72

Cell and atoms, written as POSCAR:
```
BaCd2GaI
1.0
5.834 0.000 0.000
0.000 5.727 0.000
0.000 0.000 5.727
Ga Cd I Ba
1 2 1 1
Cartesian
2.917 0.000 0.000
0.000 0.000 2.863
0.000 2.863 0.000
0.000 0.000 0.000
2.917 2.863 2.863
```



Record 18
This record from the Alexandria database describes a crystal of Ba2CdGaRu relaxed with PBEsol. The functional is meta-GGA SCAN.

Output
Raw total energy in eV/f.u.: -160.8
N(E_F) in states/eV/atom: 0.59

Cell and atoms, written as POSCAR:
```
Ba2CdGaRu
1.0
-4.433 1.282 -1.398
-1.429 -5.537 -0.545
-1.750 -0.087 5.471
Ru Ba Ga Cd
1 2 1 1
Cartesian
0.000 0.000 0.000
-0.715 -2.768 -0.273
-0.875 -0.044 2.735
-2.216 0.641 -0.699
-3.806 -2.171 1.764
```



Record 19
This record from the Alexandria database describes a crystal of Ba2CdGe2 relaxed with PBEsol. The functional is meta-GGA SCAN.

Output
Raw total energy in eV/f.u.: -149.8
N(E_F) in states/eV/atom: 0.88

Cell and atoms, written as POSCAR:
```
Ba2CdGe2
1.0
5.077 0.000 0.000
0.000 7.608 0.000
0.000 0.000 7.608
Ba Ge Cd
4 4 2
Cartesian
2.539 1.325 5.128
2.539 2.479 1.325
2.539 6.283 2.479
2.539 5.128 6.283
0.000 2.888 6.692
0.000 4.719 0.916
0.000 0.916 2.888
0.000 6.692 4.719
0.000 0.000 0.000
0.000 3.804 3.804
```



Record 20
This record from the Alexandria database describes a crystal of Ba2CdGe10 relaxed with PBEsol. The functional is meta-GGA SCAN.

Output
Raw total energy in eV/f.u.: -304.1
N(E_F) in states/eV/atom: 0.03

Cell and atoms, written as POSCAR:
```
Ba2CdGe10
1.0
-3.176 10.137 1.677
-8.597 -1.652 -6.295
-5.678 -3.200 8.590
Ge Ba Cd
40 8 4
Cartesian
-10.978 -2.377 -2.824
-12.055 5.764 7.693
-11.754 7.067 -0.926
-12.404 -2.851 -0.754
-8.708 -1.702 3.091
-10.798 1.754 7.029
-6.454 -0.427 -0.346
-14.579 3.509 2.899
-10.795 -3.095 2.846
-7.548 -2.412 5.195
-10.618 3.443 -1.526
-12.776 2.182 1.681
-13.993 5.094 6.164
-8.290 0.872 -3.733
-7.841 4.861 7.492
-12.234 1.633 -2.160
-12.869 -1.623 2.680
-11.612 6.011 1.342
-8.384 7.028 6.337
-9.440 0.633 3.478
-6.320 8.148 3.138
-7.179 -0.532 6.856
-5.156 4.433 2.524
-8.683 1.212 5.795
-7.457 4.330 3.480
-7.186 1.908 0.040
-13.485 0.599 -0.184
-5.125 3.288 0.295
-10.880 3.676 0.955
-13.942 5.902 2.297
-3.077 1.871 0.103
-7.082 -1.069 -2.684
-11.961 0.626 3.461
-8.277 2.745 -2.053
-8.188 6.666 3.867
-12.912 1.644 5.593
-3.961 -0.427 -0.319
-10.825 5.628 -2.795
-7.189 3.214 5.706
-4.406 6.802 2.266
-5.754 0.520 3.199
-14.245 -4.842 2.290
-10.776 -1.489 5.832
-13.812 4.347 -0.713
-10.191 -0.349 0.049
-15.833 0.226 3.128
-11.064 4.340 4.534
-8.096 5.988 0.194
-10.199 3.995 8.258
-8.739 2.638 1.988
-10.794 0.085 -3.717
-7.150 -2.431 1.149
```



Record 21
This record from the Alexandria database describes a crystal of Ba2CdGe2O7 relaxed with PBEsol. The functional is meta-GGA SCAN.

Output
Uncorrected formation energy in eV per formula unit: -27.4
N(E_F) in states/eV/atom: 0.00

Cell and atoms, written as POSCAR:
```
Ba2CdGe2O7
1.0
-2.602 -4.160 2.532
6.420 -5.361 -2.210
4.124 1.903 7.363
Ba O Ge Cd
4 14 4 2
Cartesian
4.312 -2.259 6.657
6.785 -5.320 4.333
1.122 -2.354 3.386
3.665 -5.303 0.993
6.972 -2.882 5.587
2.207 -2.758 0.894
-0.478 -4.185 2.135
6.182 -5.451 -0.064
3.786 -1.409 4.112
5.661 -3.803 2.108
4.522 -5.054 5.845
1.914 -4.970 3.304
1.047 -6.139 1.000
1.623 0.250 4.108
5.092 -6.996 2.621
3.265 0.238 6.284
6.914 -5.839 7.014
1.613 -2.600 6.268
5.180 -5.725 7.345
6.899 -4.145 0.891
3.380 0.264 4.519
0.424 -5.630 2.615
0.000 0.000 0.000
5.272 -1.729 2.576
```